A plane-wave DFT calculation with GGA+U was carried out for an optimized crystal structure of PuVAuO6.

The structure in CIF format:
```
data_PuVAuO6
_chemical_formula_sum 'Pu2 V2 Au2 O12'
_space_group_name_H-M_alt 'P 1'
_space_group_IT_number 1
_cell_length_a 5.356
_cell_length_b 5.356
_cell_length_c 9.589
_cell_angle_alpha 90.00
_cell_angle_beta 90.00
_cell_angle_gamma 120.00
loop_
_space_group_symop_operation_xyz
'x,y,z'
loop_
_atom_site_label
_atom_site_type_symbol
_atom_site_fract_x
_atom_site_fract_y
_atom_site_fract_z
_atom_site_occupancy
Pu1 Pu 0.667 0.333 0.750 1
Pu2 Pu 0.333 0.667 0.250 1
O1 O 0.646 0.022 0.359 1
O2 O 0.624 0.646 0.641 1
O3 O 0.022 0.376 0.641 1
O4 O 0.376 0.354 0.359 1
O5 O 0.354 0.978 0.641 1
O6 O 0.624 0.978 0.859 1
O7 O 0.978 0.624 0.359 1
O8 O 0.646 0.624 0.141 1
O9 O 0.022 0.646 0.859 1
O10 O 0.354 0.376 0.859 1
O11 O 0.978 0.354 0.141 1
O12 O 0.376 0.022 0.141 1
V1 V 0.667 0.333 0.250 1
V2 V 0.333 0.667 0.750 1
Au1 Au 0.000 0.000 0.000 1
Au2 Au 0.000 0.000 0.500 1
```

Results
As for the space group: No. 163. Its total energy is -7.7226 eV/atom. Its crystal system is trigonal.